# 1
Computed, not measured: MgSiS3 after structural relaxation at the GGA-PBE level of DFT.

Lattice parameters (Å, degrees): 7.951 7.951 7.951 46.03 46.03 46.03
Fractional coordinates of all 10 atoms:
Mg: 0.166 0.166 0.166
Mg: 0.834 0.834 0.834
Si: 0.429 0.429 0.429
Si: 0.571 0.571 0.571
S: 0.092 0.755 0.425
S: 0.245 0.575 0.908
S: 0.425 0.092 0.755
S: 0.575 0.908 0.245
S: 0.755 0.425 0.092
S: 0.908 0.245 0.575

Calculated values
The total energy is -23.27 eV per formula unit. The volume comes out at 237.49 Å³/cell. As for the space-group type: No. 148. Its formation energy (no corrections) is -0.77 eV per atom. The distance to the lowest polymorph of the same formula comes out at 0.131 eV/atom. The calculation puts the size of the total moment at 0.0 Bohr magnetons per cell.

---

# 2
Computed, not measured: Mg2SiS after structural relaxation at the GGA-PBE level of DFT.

Lattice parameters (Å, degrees): 6.564 6.564 6.564 120.87 120.87 88.51
Fractional coordinates of all 8 atoms:
Mg: 0.091 0.625 0.966
Mg: 0.375 0.341 0.466
Mg: 0.659 0.125 0.034
Mg: 0.875 0.909 0.534
Si: 0.250 0.750 0.500
Si: 0.500 0.500 0.000
S: 0.000 0.000 0.000
S: 0.750 0.250 0.500

Calculated values
The total energy is -13.72 eV per formula unit. The volume comes out at 197.26 Å³/cell. As for the space-group type: No. 122. Its formation energy (no corrections) is -0.24 eV per atom. The distance to the lowest polymorph of the same formula comes out at 0.000 eV/atom. The calculation puts the size of the total moment at 0.0 Bohr magnetons per cell.

---

What is the formation energy (no corrections) in the second record?
-0.24 eV per atom